[1]
DFT (PBE) results for Ho2ErSbC after structural relaxation.

The space group is P4/mmm (123). The calculation puts the uncorrected formation energy at -61 kJ per mole of atoms. As for the density of states at the Fermi level: 2.94 states/eV per cell. For the uncorrected energy, the calculation gives -6.04 eV per atom. As for the volume: 113 Å³ per cell.

Cell: 4.8165 4.8477 4.8477 Å, 90.00 90.00 90.00°
Element x y z (fractional)
Ho: 0.0000 0.0000 0.5000
Ho: 0.0000 0.5000 0.0000
Er: 0.5000 0.0000 0.0000
Sb: 0.5000 0.5000 0.5000
C: 0.0000 0.0000 0.0000



[2]
DFT (PBE) results for InCo2AsC after structural relaxation.

The space group is P4/mmm (123). As for the density of states at the Fermi level: 4.03 states/eV per cell. For the uncorrected energy, the calculation gives -5.59 eV per atom. The value obtained for the energy relative to the elements is 0.57 eV/atom. As for the volume: 68 Å³ per cell.

Cell: 3.8647 4.5770 3.8647 Å, 90.00 90.00 90.00°
Element x y z (fractional)
As: 0.0000 0.5000 0.0000
Co: 0.0000 0.0000 0.5000
Co: 0.5000 0.0000 0.0000
C: 0.0000 0.0000 0.0000
In: 0.5000 0.5000 0.5000



[3]
DFT (PBE) results for ScFeTe2 after structural relaxation.

The space group is R-3m (166). The calculation puts the uncorrected formation energy at 2 kJ per mole of atoms. As for the density of states at the Fermi level: 3.66 states/eV per cell. For the uncorrected energy, the calculation gives -5.25 eV per atom. As for the volume: 99 Å³ per cell.

Cell: 9.0044 9.0044 9.0044 Å, 23.12 23.12 23.12°
Site moments in Bohr magnetons follow the coordinates.
Element x y z (fractional)
Sc: 0.0000 0.0000 0.0000  -0.04
Te: 0.8896 0.8896 0.8896  0.00
Te: 0.1104 0.1104 0.1104  0.00
Fe: 0.5000 0.5000 0.5000  0.37



[4]
DFT (PBE) results for LiRePb2 after structural relaxation.

The energy above the most stable polymorph in this dataset comes out at 0.131 eV per atom. The space group is P4mm (99). As for the density of states at the Fermi level: 1.13 states/eV per cell. For the uncorrected energy, the calculation gives -4.85 eV per atom. The value obtained for the energy relative to the elements is 0.60 eV/atom. As for the volume: 82 Å³ per cell.

Cell: 3.7668 3.7727 5.7682 Å, 90.00 90.00 90.00°
Element x y z (fractional)
Li: 0.5000 0.5000 0.7476
Pb: 0.0000 0.0000 0.9653
Pb: 0.5000 0.5000 0.2925
Re: 0.0000 0.0000 0.4946



[5]
DFT (PBE) results for Cr4GaN after structural relaxation.

The space group is P2/m (10). The calculation puts the uncorrected formation energy at -8 kJ per mole of atoms. As for the density of states at the Fermi level: 5.57 states/eV per cell. For the uncorrected energy, the calculation gives -8.39 eV per atom. As for the volume: 69 Å³ per cell.

Cell: 2.7379 4.1464 6.4461 Å, 109.81 90.00 90.00°
Element x y z (fractional)
Cr: 0.5000 0.2264 0.9044
Cr: 0.5000 0.7736 0.0956
Cr: 0.0000 0.3983 0.3031
Cr: 0.0000 0.6017 0.6969
Ga: 0.5000 0.0000 0.5000
N: 0.0000 0.0000 0.0000



[6]
DFT (PBE) results for Hg2PtI after structural relaxation.

The energy above the most stable polymorph in this dataset comes out at 0.000 eV per atom. The space group is I-42d (122). The calculation puts the uncorrected formation energy at 23 kJ per mole of atoms. As for the density of states at the Fermi level: 1.90 states/eV per cell. For the uncorrected energy, the calculation gives -1.81 eV per atom. As for the volume: 270 Å³ per cell.

Cell: 5.7280 5.7280 9.1709 Å, 71.80 71.80 90.00°
Element x y z (fractional)
I: 0.5000 0.5000 0.0000
I: 0.2500 0.7500 0.5000
Hg: 0.7242 0.1250 0.2500
Hg: 0.0258 0.6250 0.2500
Hg: 0.3750 0.2758 0.7500
Hg: 0.8750 0.9742 0.7500
Pt: 0.0000 0.0000 0.0000
Pt: 0.7500 0.2500 0.5000